LiOsPt2 | SCAN | single point on PBEsol structure

a b c (Å): 2.680 2.680 9.169
angles (deg): 90.00 90.00 119.25
Sites, in units of the cell vectors:
Li  0.000  0.000  0.000
Os  0.000  0.000  0.500
Pt  0.500  0.500  0.241
Pt  0.500  0.500  0.759

Summary:
DFT formation energy (meV per atom): 36
D(E_F) (states/eV/f.u.): 3.3
Polymorph energy (0 for the lowest one) (meV per atom): 0
Volume (Å³/f.u.): 57.46
Total magnetization (μB per atom): 0.0003
SG: Cmmm (65)
ρ (Mg/m³): 17.0